No. 1
Ho4PbAu5 | Alexandria | PBE | optimized geometry; calculated volume = 232 Å³ per cell; DOS(E_F) = 5.55 states/eV per cell; formation enthalpy at 0 K = -0.76 eV/atom; mass density = 13.24 Mg/m³
1.0
3.611 0.000 0.000
0.000 3.611 0.000
0.000 0.000 17.811
Ho Pb Au
4 1 5
direct
0.000 0.000 0.101
0.000 0.000 0.302
0.000 0.000 0.698
0.000 0.000 0.899
0.000 0.000 0.500
0.500 0.500 0.000
0.500 0.500 0.199
0.500 0.500 0.387
0.500 0.500 0.613
0.500 0.500 0.801



No. 2
LiMnCuBi2 | Alexandria | PBE | optimized geometry; calculated volume = 133 Å³ per cell; DOS(E_F) = 2.33 states/eV per cell; formation enthalpy at 0 K = 0.40 eV/atom; mass density = 6.79 Mg/m³
1.0
5.266 0.000 0.000
0.000 5.266 0.000
0.000 0.000 4.794
Li Mn Cu Bi
1 1 1 2
direct
0.000 0.000 0.000
0.500 0.500 0.000
0.500 0.500 0.500
0.000 0.500 0.500
0.500 0.000 0.500